(1)
Compound: Ce3Zn7In
Source: the Alexandria database
Functional: GGA-PBE
Structure: optimized geometry

Results
Uncorrected energy: -62.3 eV/cell

Cell: 10.012 10.012 11.489 Å, 90.00 90.00 154.83°
Fractional positions:
Ce  0.111  0.889  0.549
Ce  0.111  0.889  0.951
Ce  0.232  0.768  0.250
Ce  0.768  0.232  0.750
Ce  0.889  0.111  0.049
Ce  0.889  0.111  0.451
Zn  0.275  0.725  0.521
Zn  0.275  0.725  0.979
Zn  0.377  0.623  0.644
Zn  0.377  0.623  0.856
Zn  0.393  0.607  0.250
Zn  0.497  0.503  0.108
Zn  0.497  0.503  0.392
Zn  0.503  0.497  0.608
Zn  0.503  0.497  0.892
Zn  0.607  0.393  0.750
Zn  0.623  0.377  0.144
Zn  0.623  0.377  0.356
Zn  0.725  0.275  0.021
Zn  0.725  0.275  0.479
In  0.041  0.959  0.250
In  0.959  0.041  0.750

***

(2)
Compound: Na4Ho3CrS8
Source: the Alexandria database
Functional: GGA-PBE
Structure: optimized geometry

Results
Uncorrected energy: -86.9 eV/cell
Uncorrected formation energy: -152 kJ/mol of atoms

Cell: 8.030 8.030 8.030 Å, 57.62 57.62 57.62°
Fractional positions:
Na  0.000  0.000  0.000
Na  0.000  0.500  0.500
Na  0.500  0.000  0.500
Na  0.500  0.500  0.000
Ho  0.000  0.000  0.500
Ho  0.000  0.500  0.000
Ho  0.500  0.000  0.000
Cr  0.500  0.500  0.500
S  0.243  0.243  0.243
S  0.261  0.728  0.728
S  0.272  0.272  0.739
S  0.272  0.739  0.272
S  0.728  0.261  0.728
S  0.728  0.728  0.261
S  0.739  0.272  0.272
S  0.757  0.757  0.757

***

(3)
Compound: PmSmAuSe
Source: the Alexandria database
Functional: GGA-PBE
Structure: optimized geometry

Results
Uncorrected energy: -21.3 eV/cell
Uncorrected formation energy: -122 kJ/mol of atoms

Cell: 7.712 7.712 7.712 Å, 31.11 31.11 31.11°
Fractional positions:
Pm  0.000  0.000  0.000
Sm  0.497  0.497  0.497
Au  0.248  0.248  0.248
Se  0.749  0.749  0.749

***

(4)
Compound: LiTc2Os
Source: the Alexandria database
Functional: GGA-PBE
Structure: optimized geometry

Results
Uncorrected energy: -32.7 eV/cell
Excess energy over the best structure of this formula in the dataset: 0.57 eV/f.u.

Cell: 4.739 4.739 4.739 Å, 133.58 133.58 67.75°
Fractional positions:
Li  0.000  0.000  0.000
Tc  0.250  0.750  0.500
Tc  0.750  0.250  0.500
Os  0.500  0.500  0.000

***

What is the uncorrected energy in the fourth record? -32.7 eV/cell